{
  "formula": "Ba2CaPd",
  "functional": "PBE",
  "state": "relaxed",
  "space_group": "No. 166",
  "energy_ev_per_atom": -2.902,
  "relative_energy_ev_per_atom": 0.205,
  "magmom_total_mub_per_fu": 0.0,
  "formation_energy_ev_per_atom": -0.142,
  "lattice_angstrom": [[2.1781, 1.2576, 11.8924], [-2.1781, 1.2576, 11.8924], [0.0000, -2.5151, 11.8924]],
  "species": ["Ba", "Ba", "Ca", "Pd"],
  "frac_coords": [[0.1142, 0.1142, 0.1142], [0.8858, 0.8858, 0.8858], [0.0000, 0.0000, 0.0000], [0.5000, 0.5000, 0.5000]]
}